Tb2CeIn9 | PBE | optimized geometry

Results
DOS(E_F): 8.593 states/eV/cell
energy of formation from the pure elements: -0.43 eV per atom
symmetry: P4/mmm, No. 123
size of the total moment: 0.052 μB per atom

Lattice parameters (Å, degrees): 4.668 4.668 14.005 90.00 90.00 90.00
Fractional coordinates of all 12 atoms:
Ce 0.000 0.000 0.000
In 0.000 0.500 0.500
In 0.500 0.500 0.333
In 0.500 0.500 0.000
In 0.500 0.500 0.667
In 0.500 0.000 0.500
In 0.000 0.500 0.169
In 0.500 0.000 0.169
In 0.000 0.500 0.831
In 0.500 0.000 0.831
Tb 0.000 0.000 0.335
Tb 0.000 0.000 0.665